Below is a relaxed structure of K2InPt3, with properties calculated at the PBE level.

Cell and atoms, written as CIF:
```
data_K2InPt3
_symmetry_space_group_name_H-M 'P 1'
_symmetry_Int_Tables_number 1
_symmetry_space_group_name_Hall 'P 1'
_cell_length_a 5.758
_cell_length_b 5.758
_cell_length_c 5.608
_cell_angle_alpha 90.22
_cell_angle_beta 120.50
_cell_angle_gamma 120.14
loop_
_atom_site_label
_atom_site_fract_x
_atom_site_fract_y
_atom_site_fract_z
Pt1 0.000 0.000 0.500
Pt2 0.500 0.000 0.500
K1 0.760 0.380 0.140
In1 0.000 0.000 0.000
Pt3 0.500 0.500 0.500
K2 0.240 0.620 0.860
```

Calculated values
SG: C2/m (12)



Below is a relaxed structure of K2InPt2, with properties calculated at the PBE level.

Cell and atoms, written as CIF:
```
data_K2InPt2
_symmetry_space_group_name_H-M 'P 1'
_symmetry_Int_Tables_number 1
_symmetry_space_group_name_Hall 'P 1'
_cell_length_a 6.919
_cell_length_b 6.919
_cell_length_c 5.482
_cell_angle_alpha 90.00
_cell_angle_beta 90.00
_cell_angle_gamma 90.00
loop_
_atom_site_label
_atom_site_fract_x
_atom_site_fract_y
_atom_site_fract_z
K1 0.828 0.328 0.500
Pt1 0.367 0.867 0.000
K2 0.172 0.672 0.500
Pt2 0.633 0.133 0.000
In1 0.500 0.500 0.000
Pt3 0.133 0.367 0.000
K3 0.328 0.172 0.500
K4 0.672 0.828 0.500
In2 0.000 0.000 0.000
Pt4 0.867 0.633 0.000
```

Calculated values
Distance to the lowest polymorph of the same formula in meV per atom: 89
SG: P4/mbm (127)



Below is a relaxed structure of KInPt2, with properties calculated at the PBE level.

Cell and atoms, written as CIF:
```
data_KInPt2
_symmetry_space_group_name_H-M 'P 1'
_symmetry_Int_Tables_number 1
_symmetry_space_group_name_Hall 'P 1'
_cell_length_a 4.707
_cell_length_b 4.707
_cell_length_c 6.510
_cell_angle_alpha 89.91
_cell_angle_beta 111.04
_cell_angle_gamma 120.37
loop_
_atom_site_label
_atom_site_fract_x
_atom_site_fract_y
_atom_site_fract_z
K1 0.500 0.250 0.750
Pt1 0.857 0.428 0.285
Pt2 0.143 0.072 0.215
In1 0.500 0.750 0.250
```

Calculated values
SG: C2/m (12)



Below is a relaxed structure of K2InPt, with properties calculated at the PBE level.

Cell and atoms, written as CIF:
```
data_K2InPt
_symmetry_space_group_name_H-M 'P 1'
_symmetry_Int_Tables_number 1
_symmetry_space_group_name_Hall 'P 1'
_cell_length_a 4.631
_cell_length_b 4.631
_cell_length_c 9.135
_cell_angle_alpha 75.52
_cell_angle_beta 75.52
_cell_angle_gamma 59.93
loop_
_atom_site_label
_atom_site_fract_x
_atom_site_fract_y
_atom_site_fract_z
Pt1 0.542 0.542 0.375
K1 0.963 0.963 0.108
K2 0.787 0.787 0.643
In1 0.208 0.208 0.375
```

Calculated values
SG: Cm (8)



Below is a relaxed structure of K2InPt, with properties calculated at the PBE level.

Cell and atoms, written as CIF:
```
data_K2InPt
_symmetry_space_group_name_H-M 'P 1'
_symmetry_Int_Tables_number 1
_symmetry_space_group_name_Hall 'P 1'
_cell_length_a 4.535
_cell_length_b 5.197
_cell_length_c 6.631
_cell_angle_alpha 66.87
_cell_angle_beta 90.00
_cell_angle_gamma 90.00
loop_
_atom_site_label
_atom_site_fract_x
_atom_site_fract_y
_atom_site_fract_z
Pt1 0.000 0.683 0.509
K1 0.000 0.975 0.924
In1 0.500 0.572 0.731
K2 0.500 0.270 0.336
```

Calculated values
SG: Pm (6)



Below is a relaxed structure of KIn4Pt4, with properties calculated at the PBE level.

Cell and atoms, written as CIF:
```
data_KIn4Pt4
_symmetry_space_group_name_H-M 'P 1'
_symmetry_Int_Tables_number 1
_symmetry_space_group_name_Hall 'P 1'
_cell_length_a 5.350
_cell_length_b 9.156
_cell_length_c 9.156
_cell_angle_alpha 90.00
_cell_angle_beta 90.00
_cell_angle_gamma 90.00
loop_
_atom_site_label
_atom_site_fract_x
_atom_site_fract_y
_atom_site_fract_z
Pt1 0.912 0.330 0.833
Pt2 0.088 0.167 0.330
K1 0.500 0.500 0.500
Pt3 0.412 0.333 0.170
In1 0.408 0.365 0.874
In2 0.592 0.126 0.365
In3 0.592 0.874 0.635
In4 0.092 0.135 0.626
Pt4 0.588 0.170 0.667
In5 0.408 0.635 0.126
Pt5 0.412 0.667 0.830
In6 0.908 0.626 0.865
K2 0.000 0.000 0.000
Pt6 0.588 0.830 0.333
Pt7 0.912 0.670 0.167
Pt8 0.088 0.833 0.670
In7 0.092 0.865 0.374
In8 0.908 0.374 0.135
```

Calculated values
SG: P4_2/n (86)



Below is a relaxed structure of KInPt2, with properties calculated at the PBE level.

Cell and atoms, written as CIF:
```
data_KInPt2
_symmetry_space_group_name_H-M 'P 1'
_symmetry_Int_Tables_number 1
_symmetry_space_group_name_Hall 'P 1'
_cell_length_a 5.071
_cell_length_b 5.071
_cell_length_c 5.071
_cell_angle_alpha 127.21
_cell_angle_beta 127.12
_cell_angle_gamma 77.99
loop_
_atom_site_label
_atom_site_fract_x
_atom_site_fract_y
_atom_site_fract_z
Pt1 0.500 0.500 0.000
Pt2 0.000 0.000 0.000
In1 0.750 0.250 0.500
K1 0.250 0.750 0.500
```

Calculated values
SG: I4/mmm (139)



Below is a relaxed structure of K2In4Pt3, with properties calculated at the PBE level.

Cell and atoms, written as CIF:
```
data_K2In4Pt3
_symmetry_space_group_name_H-M 'P 1'
_symmetry_Int_Tables_number 1
_symmetry_space_group_name_Hall 'P 1'
_cell_length_a 5.968
_cell_length_b 8.518
_cell_length_c 8.886
_cell_angle_alpha 90.00
_cell_angle_beta 109.62
_cell_angle_gamma 90.00
loop_
_atom_site_label
_atom_site_fract_x
_atom_site_fract_y
_atom_site_fract_z
In1 0.315 0.250 0.131
In2 0.691 0.516 0.383
Pt1 0.500 0.500 0.000
In3 0.185 0.750 0.869
In4 0.191 0.984 0.383
K1 0.895 0.386 0.790
K2 0.605 0.886 0.210
Pt2 0.520 0.750 0.541
K3 0.105 0.614 0.210
Pt3 0.980 0.250 0.459
In5 0.685 0.750 0.869
Pt4 0.020 0.750 0.541
In6 0.815 0.250 0.131
Pt5 0.000 0.000 0.000
Pt6 0.480 0.250 0.459
In7 0.809 0.016 0.617
In8 0.309 0.484 0.617
K4 0.395 0.114 0.790
```

Calculated values
SG: Cmce (64)



Below is a relaxed structure of KIn3Pt3, with properties calculated at the PBE level.

Cell and atoms, written as CIF:
```
data_KIn3Pt3
_symmetry_space_group_name_H-M 'P 1'
_symmetry_Int_Tables_number 1
_symmetry_space_group_name_Hall 'P 1'
_cell_length_a 7.275
_cell_length_b 7.275
_cell_length_c 9.159
_cell_angle_alpha 66.60
_cell_angle_beta 66.60
_cell_angle_gamma 60.00
loop_
_atom_site_label
_atom_site_fract_x
_atom_site_fract_y
_atom_site_fract_z
In1 0.442 0.290 0.360
Pt1 0.124 0.688 0.302
Pt2 0.688 0.886 0.302
K1 0.340 0.340 0.981
In2 0.092 0.558 0.640
In3 0.710 0.092 0.640
Pt3 0.114 0.876 0.698
In4 0.290 0.908 0.360
Pt4 0.886 0.124 0.302
In5 0.908 0.442 0.360
Pt5 0.876 0.312 0.698
Pt6 0.312 0.114 0.698
K2 0.660 0.660 0.019
In6 0.558 0.710 0.640
```

Calculated values
Distance to the lowest polymorph of the same formula in meV per atom: 0
SG: R-3 (148)



Below is a relaxed structure of K2InPt, with properties calculated at the PBE level.

Cell and atoms, written as CIF:
```
data_K2InPt
_symmetry_space_group_name_H-M 'P 1'
_symmetry_Int_Tables_number 1
_symmetry_space_group_name_Hall 'P 1'
_cell_length_a 3.771
_cell_length_b 3.771
_cell_length_c 10.063
_cell_angle_alpha 90.00
_cell_angle_beta 90.00
_cell_angle_gamma 90.00
loop_
_atom_site_label
_atom_site_fract_x
_atom_site_fract_y
_atom_site_fract_z
K1 0.500 0.500 0.335
In1 0.500 0.500 0.659
Pt1 0.000 0.000 0.588
K2 0.000 0.000 0.918
```

Calculated values
SG: P4mm (99)



Below is a relaxed structure of KInPt3, with properties calculated at the PBE level.

Cell and atoms, written as CIF:
```
data_KInPt3
_symmetry_space_group_name_H-M 'P 1'
_symmetry_Int_Tables_number 1
_symmetry_space_group_name_Hall 'P 1'
_cell_length_a 4.997
_cell_length_b 4.997
_cell_length_c 4.997
_cell_angle_alpha 90.00
_cell_angle_beta 90.00
_cell_angle_gamma 90.00
loop_
_atom_site_label
_atom_site_fract_x
_atom_site_fract_y
_atom_site_fract_z
In1 0.500 0.500 0.500
Pt1 0.500 0.000 0.000
Pt2 0.000 0.500 0.000
K1 0.000 0.000 0.000
Pt3 0.000 0.000 0.500
```

Calculated values
Distance to the lowest polymorph of the same formula in meV per atom: 1137
SG: Pm-3m (221)



Below is a relaxed structure of K6InPt, with properties calculated at the PBE level.

Cell and atoms, written as CIF:
```
data_K6InPt
_symmetry_space_group_name_H-M 'P 1'
_symmetry_Int_Tables_number 1
_symmetry_space_group_name_Hall 'P 1'
_cell_length_a 4.518
_cell_length_b 9.826
_cell_length_c 9.826
_cell_angle_alpha 94.79
_cell_angle_beta 90.00
_cell_angle_gamma 90.00
loop_
_atom_site_label
_atom_site_fract_x
_atom_site_fract_y
_atom_site_fract_z
K1 0.500 0.936 0.064
In1 0.000 0.148 0.852
K2 0.000 0.515 0.775
Pt1 0.500 0.245 0.755
K3 0.000 0.225 0.485
K4 0.500 0.918 0.650
K5 0.500 0.350 0.082
K6 0.000 0.664 0.336
```

Calculated values
SG: Amm2 (38)



| no. | calculated formation energy (eV per atom) |
| --- | --- |
| 1 | -0.262 |
| 2 | -0.189 |
| 3 | -0.320 |
| 4 | -0.238 |
| 5 | -0.151 |
| 6 | -0.386 |
| 7 | 0.090 |
| 8 | -0.339 |
| 9 | -0.298 |
| 10 | -0.152 |
| 11 | 1.694 |
| 12 | -0.086 |